# KAgRh4, optimized geometry, DFT PBE-GGA
# E_form in eV per atom: 0.538
# E_tot in eV/atom: -5.02
data_KAgRh4
_symmetry_space_group_name_H-M 'P 1'
_symmetry_Int_Tables_number 1
_cell_length_a 5.3349
_cell_length_b 5.3349
_cell_length_c 5.3349
_cell_angle_alpha 60.00
_cell_angle_beta 60.00
_cell_angle_gamma 60.00
loop_
_symmetry_equiv_pos_as_xyz
'x,y,z'
loop_
_atom_site_label
_atom_site_fract_x
_atom_site_fract_y
_atom_site_fract_z
K1 0.0000 0.0000 0.0000
Ag1 0.2500 0.2500 0.2500
Rh1 0.1262 0.6246 0.6246
Rh2 0.6246 0.1262 0.6246
Rh3 0.6246 0.6246 0.1262
Rh4 0.6246 0.6246 0.6246

---

# CrPS4, optimized geometry, DFT PBE-GGA
# Uncorrected formation energy in meV per atom: -434
# E_tot in eV/atom: -5.69
data_CrPS4
_symmetry_space_group_name_H-M 'P 1'
_symmetry_Int_Tables_number 1
_cell_length_a 6.5664
_cell_length_b 6.5664
_cell_length_c 6.9424
_cell_angle_alpha 91.43
_cell_angle_beta 91.43
_cell_angle_gamma 68.01
loop_
_symmetry_equiv_pos_as_xyz
'x,y,z'
loop_
_atom_site_label
_atom_site_fract_x
_atom_site_fract_y
_atom_site_fract_z
Cr1 0.2452 0.7548 0.0000
Cr2 0.7548 0.2452 0.0000
P1 0.2033 0.2033 0.8521
P2 0.7967 0.7967 0.1479
S1 0.0978 0.6330 0.2664
S2 0.1284 0.1284 0.1272
S3 0.3670 0.9022 0.7336
S4 0.3957 0.3957 0.8309
S5 0.6043 0.6043 0.1691
S6 0.6330 0.0978 0.2664
S7 0.8716 0.8716 0.8728
S8 0.9022 0.3670 0.7336

---

# HfSb2Rh, optimized geometry, DFT PBE-GGA
# Uncorrected formation energy in meV per atom: -15
# E_tot in eV/atom: -6.40
data_HfSb2Rh
_symmetry_space_group_name_H-M 'P 1'
_symmetry_Int_Tables_number 1
_cell_length_a 9.8642
_cell_length_b 9.8642
_cell_length_c 9.8642
_cell_angle_alpha 19.15
_cell_angle_beta 19.15
_cell_angle_gamma 19.15
loop_
_symmetry_equiv_pos_as_xyz
'x,y,z'
loop_
_atom_site_label
_atom_site_fract_x
_atom_site_fract_y
_atom_site_fract_z
Hf1 0.0000 0.0000 0.0000
Sb1 0.0996 0.0996 0.0996
Sb2 0.9004 0.9004 0.9004
Rh1 0.5000 0.5000 0.5000

---

# CaDy3Pt2, optimized geometry, DFT PBE-GGA
# E_form in eV per atom: -0.909
# E_tot in eV/atom: -5.56
data_CaDy3Pt2
_symmetry_space_group_name_H-M 'P 1'
_symmetry_Int_Tables_number 1
_cell_length_a 4.7611
_cell_length_b 8.7930
_cell_length_c 7.2803
_cell_angle_alpha 90.00
_cell_angle_beta 90.00
_cell_angle_gamma 90.00
loop_
_symmetry_equiv_pos_as_xyz
'x,y,z'
loop_
_atom_site_label
_atom_site_fract_x
_atom_site_fract_y
_atom_site_fract_z
Ca1 0.0000 0.0805 0.0000
Ca2 0.0000 0.9195 0.5000
Dy1 0.0000 0.3304 0.6304
Dy2 0.0000 0.6696 0.1304
Dy3 0.5000 0.1746 0.3403
Dy4 0.5000 0.4204 0.9729
Dy5 0.5000 0.5796 0.4729
Dy6 0.5000 0.8254 0.8403
Pt1 0.0000 0.3540 0.2391
Pt2 0.0000 0.6460 0.7391
Pt3 0.5000 0.1620 0.7318
Pt4 0.5000 0.8380 0.2318

---

Number 1: calculated density 8.6 g/cm³. Number 2: calculated density 2.5 g/cm³. Number 3: calculated density 9.7 g/cm³. Number 4: calculated density 10.0 g/cm³.